[1]
ErTlBi2 | PBE | optimized geometry

Output
Offset from the most stable computed form ... 156 meV/atom
Space group ... No. 160
Total magnetization ... 0.0 μB/cell

Structure (POSCAR):
```
ErTlBi2
1.0
2.471 1.426 6.559
-2.471 1.426 6.559
0.000 -2.853 6.559
Er Tl Bi
1 1 2
Direct
0.000 0.000 0.000 Er
0.827 0.827 0.827 Tl
0.407 0.407 0.407 Bi
0.595 0.595 0.595 Bi
```



[2]
Er4Tl2Bi | PBE | optimized geometry

Output
Space group ... No. 11
Total magnetization ... 0.0 μB/cell

Structure (POSCAR):
```
Er4Tl2Bi
1.0
5.903 0.000 0.000
0.000 6.560 0.000
-2.131 0.000 10.387
Er Tl Bi
8 4 2
Direct
0.053 0.250 0.150 Er
0.165 0.750 0.446 Er
0.398 0.005 0.732 Er
0.398 0.495 0.732 Er
0.602 0.505 0.268 Er
0.602 0.995 0.268 Er
0.835 0.250 0.554 Er
0.947 0.750 0.850 Er
0.280 0.250 0.446 Tl
0.497 0.750 0.993 Tl
0.503 0.250 0.007 Tl
0.720 0.750 0.554 Tl
0.058 0.750 0.157 Bi
0.942 0.250 0.843 Bi
```



[3]
Er2TlBi | PBE | optimized geometry

Output
Offset from the most stable computed form ... 0 meV/atom
Space group ... No. 166
Total magnetization ... 0.0 μB/cell

Structure (POSCAR):
```
Er2TlBi
1.0
2.093 1.209 8.051
-2.093 1.209 8.051
0.000 -2.417 8.051
Er Tl Bi
2 1 1
Direct
0.246 0.246 0.246 Er
0.754 0.754 0.754 Er
0.000 0.000 0.000 Tl
0.500 0.500 0.500 Bi
```



[4]
Er2TlBi | PBE | optimized geometry

Output
Offset from the most stable computed form ... 7 meV/atom
Space group ... No. 62
Total magnetization ... 0.0 μB/cell

Structure (POSCAR):
```
Er2TlBi
1.0
8.281 0.000 0.000
0.000 4.142 0.000
0.000 0.000 14.206
Er Tl Bi
8 4 4
Direct
0.190 0.250 0.237 Er
0.196 0.750 0.995 Er
0.304 0.250 0.495 Er
0.310 0.750 0.737 Er
0.690 0.250 0.263 Er
0.696 0.750 0.505 Er
0.804 0.250 0.005 Er
0.810 0.750 0.763 Er
0.043 0.750 0.585 Tl
0.457 0.250 0.085 Tl
0.543 0.750 0.915 Tl
0.957 0.250 0.415 Tl
0.070 0.250 0.842 Bi
0.430 0.750 0.342 Bi
0.570 0.250 0.658 Bi
0.930 0.750 0.158 Bi
```



The following E_form values (in eV/atom) correspond, in order, to the records above: -0.1940 -0.3140 -0.4450 -0.4376.
The following N(E_F) values (in states/eV per atom) correspond, in order, to the records above: 0.696 0.704 0.406 0.561.